This record from Alexandria describes a geometry-optimized Dy6RuRh3 structure. The functional is PBE.

Cell: 4.7466 8.0835 12.1691 Å, 90.00 90.00 90.00°
Sites, in units of the cell vectors:
Dy1 0.5000 0.1558 0.9092
Dy2 0.4999 0.1761 0.5781
Dy3 0.4999 0.4950 0.2433
Dy4 0.5001 0.5050 0.7567
Dy5 0.5001 0.8239 0.4219
Dy6 0.5000 0.8442 0.0908
Dy7 0.0000 0.3442 0.4092
Dy8 0.9999 0.3239 0.0781
Dy9 0.9999 0.0050 0.7433
Dy10 0.0001 0.9950 0.2567
Dy11 0.0001 0.6761 0.9219
Dy12 0.0000 0.6558 0.5908
Ru1 0.5000 0.5000 0.5000
Ru2 0.0000 0.0000 0.0000
Rh1 0.5000 0.8367 0.6632
Rh2 0.5000 0.5000 0.0000
Rh3 0.5000 0.1633 0.3368
Rh4 0.0000 0.6633 0.1632
Rh5 0.0000 0.0000 0.5000
Rh6 0.0000 0.3367 0.8368

Results
**Electronic total energy**: -6.44 eV per atom